Record 1
The following is a DFT calculation (PBE-GGA) of an optimized crystal structure of LaTb2Er5Tm.

```
data_LaTb2Er5Tm
_symmetry_space_group_name_H-M 'I 4/m c m'
_symmetry_Int_Tables_number 140
_symmetry_space_group_name_Hall '-I 4 2c'
_cell_length_a 8.8869
_cell_length_b 8.8869
_cell_length_c 14.7337
_cell_angle_alpha 90.00
_cell_angle_beta 90.00
_cell_angle_gamma 90.00
loop_
_atom_site_label
_atom_site_fract_x
_atom_site_fract_y
_atom_site_fract_z
La1 0.0000 0.0000 0.2500
Tb1 0.1132 0.3868 0.0000
Er1 0.0000 0.0000 0.0000
Er2 0.2054 0.2946 0.3684
Tm1 0.0000 0.5000 0.2500
```

Summary:
The density of states at the Fermi level is 44.32 states/eV/cell. As for the magnetic moment: 0.000 μB/f.u. The formation energy comes out at 284 meV/atom. For the total energy, the calculation gives -4.324 eV/atom.

=====

Record 2
The following is a DFT calculation (PBE-GGA) of an optimized crystal structure of FeRu2Pb.

```
data_FeRu2Pb
_symmetry_space_group_name_H-M 'F -4 3 m'
_symmetry_Int_Tables_number 216
_symmetry_space_group_name_Hall 'F -4 2 3'
_cell_length_a 6.3452
_cell_length_b 6.3452
_cell_length_c 6.3452
_cell_angle_alpha 90.00
_cell_angle_beta 90.00
_cell_angle_gamma 90.00
loop_
_atom_site_label
_atom_site_fract_x
_atom_site_fract_y
_atom_site_fract_z
Fe1 0.0000 0.0000 0.0000
Ru1 0.0000 0.0000 0.5000
Ru2 0.2500 0.2500 0.7500
Pb1 0.2500 0.2500 0.2500
```

Summary:
The density of states at the Fermi level is 23.24 states/eV/cell. As for the magnetic moment: 4.228 μB/f.u. The formation energy comes out at 587 meV/atom. For the total energy, the calculation gives -7.094 eV/atom.

=====

Q: Which value of magnetic moment does entry 2 give?
A: 4.228 μB/f.u.

=====

Q: The highest magnetic moment belongs to which entry?
A: FeRu2Pb